1.
{
  "formula": "NbRu3F",
  "functional": "GGA-PBE",
  "state": "optimized geometry",
  "cell": [[4.776, 0.000, 0.000], [0.000, 4.776, 0.000], [0.000, 0.000, 4.776]],
  "species": ["Nb", "Ru", "Ru", "Ru", "F"],
  "fractional_positions": [[0.000, 0.000, 0.000], [0.000, 0.000, 0.500], [0.000, 0.500, 0.000], [0.500, 0.000, 0.000], [0.500, 0.500, 0.500]],
  "magnetic_moment_mub_per_fu": 4.5,
  "raw_formation_energy_ev_per_atom": 1.6122,
  "sg": "Pm-3m, No. 221",
  "de_polymorph_mev_per_atom": 968.6
}

=====

2.
{
  "formula": "NbRuF2",
  "functional": "GGA-PBE",
  "state": "optimized geometry",
  "cell": [[0.000, 2.944, 2.944], [2.944, 0.000, 2.944], [2.944, 2.944, 0.000]],
  "species": ["Nb", "Ru", "F", "F"],
  "fractional_positions": [[0.000, 0.000, 0.000], [0.500, 0.500, 0.500], [0.250, 0.250, 0.250], [0.750, 0.750, 0.750]],
  "magnetic_moment_mub_per_fu": 0.0,
  "raw_formation_energy_ev_per_atom": -0.0731,
  "sg": "Fm-3m, No. 225",
  "de_polymorph_mev_per_atom": 901.7
}

=====

3.
{
  "formula": "NbRuF2",
  "functional": "GGA-PBE",
  "state": "optimized geometry",
  "cell": [[1.383, 0.798, 9.815], [-1.383, 0.798, 9.815], [0.000, -1.597, 9.815]],
  "species": ["Nb", "Ru", "F", "F"],
  "fractional_positions": [[0.000, 0.000, 0.000], [0.500, 0.500, 0.500], [0.385, 0.385, 0.385], [0.615, 0.615, 0.615]],
  "magnetic_moment_mub_per_fu": 2.0,
  "raw_formation_energy_ev_per_atom": -0.9748,
  "sg": "R-3m, No. 166",
  "de_polymorph_mev_per_atom": 0.0
}

=====

4.
{
  "formula": "TiNbRu2F",
  "functional": "GGA-PBE",
  "state": "optimized geometry",
  "cell": [[4.724, 0.000, 0.000], [0.000, 4.724, 0.000], [0.000, 0.000, 3.655]],
  "species": ["Ti", "Nb", "Ru", "Ru", "F"],
  "fractional_positions": [[0.000, 0.000, 0.000], [0.500, 0.500, 0.500], [0.000, 0.500, 0.000], [0.500, 0.000, 0.000], [0.000, 0.000, 0.500]],
  "magnetic_moment_mub_per_fu": 0.0,
  "raw_formation_energy_ev_per_atom": -0.0208,
  "sg": "P4/mmm, No. 123"
}

=====

5.
{
  "formula": "YNbRuF2",
  "functional": "GGA-PBE",
  "state": "optimized geometry",
  "cell": [[4.173, 0.000, 0.000], [0.000, 4.173, 0.000], [0.000, 0.000, 5.105]],
  "species": ["Y", "Nb", "Ru", "F", "F"],
  "fractional_positions": [[0.000, 0.000, 0.000], [0.500, 0.500, 0.500], [0.500, 0.500, 0.000], [0.000, 0.500, 0.500], [0.500, 0.000, 0.500]],
  "magnetic_moment_mub_per_fu": 0.0,
  "raw_formation_energy_ev_per_atom": -1.1585,
  "sg": "P4/mmm, No. 123"
}

=====

6.
{
  "formula": "Nb2S2F",
  "functional": "GGA-PBE",
  "state": "optimized geometry",
  "cell": [[-2.091, 2.091, 5.221], [2.091, -2.091, 5.221], [2.091, 2.091, -5.221]],
  "species": ["Nb", "Nb", "S", "S", "F"],
  "fractional_positions": [[0.250, 0.750, 0.500], [0.750, 0.250, 0.500], [0.127, 0.127, 0.000], [0.873, 0.873, 0.000], [0.500, 0.500, 0.000]],
  "magnetic_moment_mub_per_fu": 0.0,
  "raw_formation_energy_ev_per_atom": -0.7679,
  "sg": "I4/mmm, No. 139",
  "de_polymorph_mev_per_atom": 97.9
}

=====

7.
{
  "formula": "NbSF3",
  "functional": "GGA-PBE",
  "state": "optimized geometry",
  "cell": [[7.760, 0.000, 0.000], [0.000, 5.935, 0.000], [-7.219, 0.000, 9.316]],
  "species": ["Nb", "Nb", "Nb", "Nb", "S", "S", "S", "S", "F", "F", "F", "F", "F", "F", "F", "F", "F", "F", "F", "F"],
  "fractional_positions": [[0.078, 0.141, 0.356], [0.078, 0.359, 0.856], [0.922, 0.641, 0.144], [0.922, 0.859, 0.644], [0.250, 0.093, 0.812], [0.250, 0.407, 0.312], [0.750, 0.593, 0.688], [0.750, 0.907, 0.188], [0.022, 0.747, 0.041], [0.022, 0.753, 0.541], [0.182, 0.618, 0.794], [0.182, 0.882, 0.294], [0.328, 0.045, 0.536], [0.328, 0.455, 0.036], [0.672, 0.545, 0.964], [0.672, 0.955, 0.464], [0.818, 0.118, 0.706], [0.818, 0.382, 0.206], [0.978, 0.247, 0.459], [0.978, 0.253, 0.959]],
  "magnetic_moment_mub_per_fu": 0.0,
  "raw_formation_energy_ev_per_atom": -2.3056,
  "sg": "P2_1/c, No. 14",
  "de_polymorph_mev_per_atom": 0.0
}

=====

8.
{
  "formula": "NbSF3",
  "functional": "GGA-PBE",
  "state": "optimized geometry",
  "cell": [[4.332, 0.000, 0.000], [0.000, 4.332, 0.000], [0.000, 0.000, 4.332]],
  "species": ["Nb", "S", "F", "F", "F"],
  "fractional_positions": [[0.000, 0.000, 0.000], [0.500, 0.500, 0.500], [0.000, 0.500, 0.500], [0.500, 0.000, 0.500], [0.500, 0.500, 0.000]],
  "magnetic_moment_mub_per_fu": 3.4,
  "raw_formation_energy_ev_per_atom": 0.0257,
  "sg": "Pm-3m, No. 221",
  "de_polymorph_mev_per_atom": 2331.3
}

=====

What did the first record say?
{
  "formula": "NbRu3F",
  "functional": "GGA-PBE",
  "state": "optimized geometry",
  "cell": [[4.776, 0.000, 0.000], [0.000, 4.776, 0.000], [0.000, 0.000, 4.776]],
  "species": ["Nb", "Ru", "Ru", "Ru", "F"],
  "fractional_positions": [[0.000, 0.000, 0.000], [0.000, 0.000, 0.500], [0.000, 0.500, 0.000], [0.500, 0.000, 0.000], [0.500, 0.500, 0.500]],
  "magnetic_moment_mub_per_fu": 4.5,
  "raw_formation_energy_ev_per_atom": 1.6122,
  "sg": "Pm-3m, No. 221",
  "de_polymorph_mev_per_atom": 968.6
}